Entry 1:
Computed, not measured: HfTh2Ga after structural relaxation at the PBE-GGA level of DFT.

a = 4.6504 Å, b = 4.6994 Å, c = 4.6994 Å
α = 90.00°, β = 90.00°, γ = 90.00°
With the nearest neighbours (Å) after each atom.
Sites, in units of the cell vectors:
Hf1 0.5000 0.0000 0.0000  8 Th 3.31, 4 Ga 3.32
Ga1 0.5000 0.5000 0.5000  8 Th 3.31, 4 Hf 3.32
Th1 0.0000 0.0000 0.5000  4 Ga 3.31, 4 Hf 3.31, 4 Th 3.32
Th2 0.0000 0.5000 0.0000  4 Hf 3.31, 4 Ga 3.31, 4 Th 3.32

Output
Crystal system: tetragonal
DOS(E_F) (states/eV/cell): 4.462
Energy of formation from the pure elements (meV/atom): -114
SG: P4/mmm (123)
V (Å³/cell): 102.70
Energy above the most stable polymorph in this dataset (meV/atom): 0
M_tot (μB per formula unit): 0.0

***

Entry 2:
Computed, not measured: Tm4CdHg2Au after structural relaxation at the PBE-GGA level of DFT.

a = 5.1550 Å, b = 5.1550 Å, c = 8.9262 Å
α = 73.22°, β = 73.22°, γ = 60.00°
With the nearest neighbours (Å) after each atom.
Sites, in units of the cell vectors:
Tm1 0.3801 0.3801 0.8597  1 Au 3.03, 4 Hg 3.07-3.13, 3 Cd 3.20
Tm2 0.8710 0.8710 0.3869  3 Au 3.12, 4 Hg 3.21-3.25, 1 Cd 3.26
Tm3 0.1290 0.1290 0.6131  3 Au 3.12, 4 Hg 3.21-3.25, 1 Cd 3.26
Tm4 0.6199 0.6199 0.1403  1 Au 3.03, 4 Hg 3.07-3.13, 3 Cd 3.20
Cd1 0.0000 0.0000 0.0000  8 Tm 3.20-3.26, 6 Hg 3.56
Hg1 0.7439 0.7439 0.7684  8 Tm 3.07-3.25
Hg2 0.2561 0.2561 0.2316  8 Tm 3.07-3.25
Au1 0.5000 0.5000 0.5000  8 Tm 3.03-3.12

Output
Crystal system: trigonal
DOS(E_F) (states/eV/cell): 3.434
Energy of formation from the pure elements (meV/atom): -549
SG: R-3m (166)
V (Å³/cell): 193.67
M_tot (μB per formula unit): 0.0

***

Entry 3:
Computed, not measured: NaCdTeI2 after structural relaxation at the PBE-GGA level of DFT.

a = 5.9020 Å, b = 5.9020 Å, c = 5.9120 Å
α = 90.00°, β = 90.00°, γ = 90.00°
With the nearest neighbours (Å) after each atom.
Sites, in units of the cell vectors:
I1 0.0000 0.5000 0.0000  2 Na 2.95
I2 0.5000 0.0000 0.0000  2 Na 2.95
Na1 0.0000 0.0000 0.0000  4 I 2.95, 2 Te 2.96
Te1 0.0000 0.0000 0.5000  2 Na 2.96
Cd1 0.5000 0.5000 0.5000  4 Te 4.17, 8 I 4.18

Output
E_form (uncorrected) (eV/atom): 0.11
Crystal system: tetragonal
DOS(E_F) (states/eV/cell): 6.814
SG: P4/mmm (123)
V (Å³/cell): 205.93
Energy above the most stable polymorph in this dataset (meV/atom): 439
M_tot (μB per formula unit): 2.1

***

Entry 4:
Computed, not measured: CaMoIrOs2 after structural relaxation at the PBE-GGA level of DFT.

a = 4.7374 Å, b = 4.8089 Å, c = 4.7374 Å
α = 90.00°, β = 90.00°, γ = 90.00°
With the nearest neighbours (Å) after each atom.
Sites, in units of the cell vectors:
Mo1 0.0000 0.0000 0.0000  4 Os 2.37, 2 Ir 2.40
Ir1 0.0000 0.5000 0.0000  2 Mo 2.40
Os1 0.0000 0.0000 0.5000  2 Mo 2.37
Os2 0.5000 0.0000 0.0000  2 Mo 2.37
Ca1 0.5000 0.5000 0.5000  4 Ir 3.35, 8 Os 3.38

Output
Crystal system: tetragonal
DOS(E_F) (states/eV/cell): 4.925
Energy of formation from the pure elements (meV/atom): 1240
SG: P4/mmm (123)
V (Å³/cell): 107.93
M_tot (μB per formula unit): 0.0

***

Entry 5:
Computed, not measured: MgScHg after structural relaxation at the PBE-GGA level of DFT.

a = 4.7287 Å, b = 4.7287 Å, c = 4.7287 Å
α = 60.00°, β = 60.00°, γ = 60.00°
With the nearest neighbours (Å) after each atom.
Sites, in units of the cell vectors:
Hg1 0.2500 0.2500 0.2500  4 Mg 2.90, 4 Sc 2.90
Mg1 0.0000 0.0000 0.0000  4 Hg 2.90
Sc1 0.5000 0.5000 0.5000  4 Hg 2.90

Output
Crystal system: cubic
DOS(E_F) (states/eV/cell): 3.510
Energy of formation from the pure elements (meV/atom): -136
SG: F-43m (216)
V (Å³/cell): 74.77
M_tot (μB per formula unit): 0.9

***

Entry 6:
Computed, not measured: BaCuN2 after structural relaxation at the PBE-GGA level of DFT.

a = 6.3054 Å, b = 6.3054 Å, c = 6.3054 Å
α = 40.30°, β = 40.30°, γ = 40.30°
With the nearest neighbours (Å) after each atom.
Sites, in units of the cell vectors:
Ba1 0.5000 0.5000 0.5000  6 N 2.77
Cu1 0.0000 0.0000 0.0000  2 N 1.71
N1 0.9015 0.9015 0.9015  1 Cu 1.71
N2 0.0985 0.0985 0.0985  1 Cu 1.71

Output
E_form (uncorrected) (eV/atom): 0.59
Crystal system: trigonal
DOS(E_F) (states/eV/cell): 3.127
SG: R-3m (166)
V (Å³/cell): 94.54
Energy above the most stable polymorph in this dataset (meV/atom): 129
M_tot (μB per formula unit): 1.0

***

Entry 7:
Computed, not measured: GdErAg after structural relaxation at the PBE-GGA level of DFT.

a = 3.6448 Å, b = 5.0499 Å, c = 5.0499 Å
α = 120.00°, β = 90.00°, γ = 90.00°
With the nearest neighbours (Å) after each atom.
Sites, in units of the cell vectors:
Gd1 0.6199 0.6667 0.3333  3 Ag 3.13, 3 Er 3.36
Ag1 0.3044 0.3333 0.6667  3 Er 3.03, 3 Gd 3.13
Er1 0.0757 0.0000 0.0000  3 Ag 3.03, 3 Gd 3.36

Output
Crystal system: trigonal
DOS(E_F) (states/eV/cell): 3.083
Energy of formation from the pure elements (meV/atom): -29
SG: P3m1 (156)
V (Å³/cell): 80.50
Energy above the most stable polymorph in this dataset (meV/atom): 163
M_tot (μB per formula unit): 7.2

***

Entry 8:
Computed, not measured: ErInAgGe after structural relaxation at the PBE-GGA level of DFT.

a = 4.9795 Å, b = 4.9795 Å, c = 4.9795 Å
α = 60.00°, β = 60.00°, γ = 60.00°
With the nearest neighbours (Å) after each atom.
Sites, in units of the cell vectors:
Ge1 0.2500 0.2500 0.2500  4 In 3.05, 4 Er 3.05
In1 0.5000 0.5000 0.5000  4 Ge 3.05, 4 Ag 3.05
Ag1 0.7500 0.7500 0.7500  4 In 3.05, 4 Er 3.05
Er1 0.0000 0.0000 0.0000  4 Ag 3.05, 4 Ge 3.05

Output
Crystal system: cubic
DOS(E_F) (states/eV/cell): 2.921
Energy of formation from the pure elements (meV/atom): -222
SG: F-43m (216)
V (Å³/cell): 87.31
M_tot (μB per formula unit): 0.0

***

Entry 9:
Computed, not measured: CaZnCoRh2 after structural relaxation at the PBE-GGA level of DFT.

a = 4.5425 Å, b = 4.8802 Å, c = 4.5425 Å
α = 90.00°, β = 90.00°, γ = 90.00°
With the nearest neighbours (Å) after each atom.
Sites, in units of the cell vectors:
Co1 0.0000 0.0000 0.0000  4 Rh 2.27, 2 Ca 2.44
Zn1 0.5000 0.5000 0.5000  4 Ca 3.21, 8 Rh 3.33
Rh1 0.0000 0.0000 0.5000  2 Co 2.27
Rh2 0.5000 0.0000 0.0000  2 Co 2.27
Ca1 0.0000 0.5000 0.0000  2 Co 2.44

Output
Crystal system: tetragonal
DOS(E_F) (states/eV/cell): 3.840
Energy of formation from the pure elements (meV/atom): 547
SG: P4/mmm (123)
V (Å³/cell): 100.70
M_tot (μB per formula unit): 2.2

***

Entry 10:
Computed, not measured: Ba2ZnSb after structural relaxation at the PBE-GGA level of DFT.

a = 6.8895 Å, b = 6.8895 Å, c = 6.8895 Å
α = 137.69°, β = 137.69°, γ = 61.38°
With the nearest neighbours (Å) after each atom.
Sites, in units of the cell vectors:
Ba1 0.0000 0.0000 0.0000  4 Sb 3.52, 4 Zn 3.87, 4 Ba 3.87
Ba2 0.2500 0.7500 0.5000  4 Zn 3.52, 4 Ba 3.87, 4 Sb 3.87
Sb1 0.5000 0.5000 0.0000  8 Ba 3.52-3.87, 4 Zn 3.87
Zn1 0.7500 0.2500 0.5000  8 Ba 3.52-3.87, 4 Sb 3.87

Output
E_form (uncorrected) (eV/atom): -0.47
Crystal system: tetragonal
DOS(E_F) (states/eV/cell): 2.371
SG: I-4m2 (119)
V (Å³/cell): 146.50
Energy above the most stable polymorph in this dataset (meV/atom): 174
M_tot (μB per formula unit): 0.6

***

Entry 11:
Computed, not measured: Pr4CuSCl2 after structural relaxation at the PBE-GGA level of DFT.

a = 4.0815 Å, b = 7.5253 Å, c = 7.1505 Å
α = 71.36°, β = 90.00°, γ = 90.00°
With the nearest neighbours (Å) after each atom.
Sites, in units of the cell vectors:
Pr1 0.0000 0.7234 0.7603  2 Cu 2.84, 1 S 2.88, 3 Cl 3.08-3.09
Pr2 0.0000 0.2766 0.2397  2 Cu 2.84, 1 S 2.88, 3 Cl 3.08-3.09
Pr3 0.5000 0.7217 0.2665  2 S 2.82, 1 Cu 2.91, 3 Cl 3.07-3.10
Pr4 0.5000 0.2783 0.7335  2 S 2.82, 1 Cu 2.91, 3 Cl 3.07-3.10
Cu1 0.5000 0.5000 0.0000  6 Pr 2.84-2.91
S1 0.0000 0.5000 0.5000  6 Pr 2.82-2.88
Cl1 0.0000 0.0000 0.0000  6 Pr 3.09-3.10
Cl2 0.5000 0.0000 0.5000  6 Pr 3.07-3.08

Output
E_form (uncorrected) (eV/atom): -1.27
Crystal system: monoclinic
DOS(E_F) (states/eV/cell): 4.985
SG: P2/m (10)
V (Å³/cell): 208.10
M_tot (μB per formula unit): 0.0

***

Entry 12:
Computed, not measured: Zr3TeOs after structural relaxation at the PBE-GGA level of DFT.

a = 5.0870 Å, b = 5.0870 Å, c = 5.0870 Å
α = 90.00°, β = 90.00°, γ = 90.00°
With the nearest neighbours (Å) after each atom.
Sites, in units of the cell vectors:
Te1 0.5000 0.5000 0.5000  12 Zr 3.60
Os1 0.0000 0.0000 0.0000  6 Zr 2.54
Zr1 0.0000 0.5000 0.0000  2 Os 2.54
Zr2 0.0000 0.0000 0.5000  2 Os 2.54
Zr3 0.5000 0.0000 0.0000  2 Os 2.54

Output
E_form (uncorrected) (eV/atom): 0.10
Crystal system: cubic
DOS(E_F) (states/eV/cell): 3.536
SG: Pm-3m (221)
V (Å³/cell): 131.64
M_tot (μB per formula unit): 0.0

***

Entry 13:
Computed, not measured: BaIrF after structural relaxation at the PBE-GGA level of DFT.

a = 4.7489 Å, b = 4.7489 Å, c = 4.7489 Å
α = 60.00°, β = 60.00°, γ = 60.00°
With the nearest neighbours (Å) after each atom.
Sites, in units of the cell vectors:
Ir1 0.2500 0.2500 0.2500  4 F 2.91
Ba1 0.7500 0.7500 0.7500  4 F 2.91
F1 0.0000 0.0000 0.0000  4 Ba 2.91, 4 Ir 2.91

Output
E_form (uncorrected) (eV/atom): -0.38
Crystal system: cubic
DOS(E_F) (states/eV/cell): 0.916
SG: F-43m (216)
V (Å³/cell): 75.73
Energy above the most stable polymorph in this dataset (meV/atom): 1534
M_tot (μB per formula unit): 2.0